No. 1
Here is crystalline Ac3P2Pt4 at its relaxed geometry from Alexandria. Energies are from PBE-GGA.

Values from the calculation:
* SG: C2/m, No. 12
* ΔE_f: -120 kJ/mol of atoms
* total DFT energy (no corrections): -6.503 eV/atom
* total magnetic moment: 0.00 μB/cell

Cell lengths 4.3308, 6.1200, 8.7677 Å; angles 102.52, 90.00, 110.72 degrees
Fractional coordinates of all 9 atoms:
Pt 0.7140 0.4281 0.0745
Pt 0.0598 0.1196 0.3784
Pt 0.2860 0.5719 0.9255
Pt 0.9402 0.8804 0.6216
P 0.3902 0.7804 0.7154
P 0.6098 0.2196 0.2846
Ac 0.3362 0.6724 0.3341
Ac 0.6638 0.3276 0.6659
Ac 0.0000 0.0000 0.0000

***

No. 2
Here is crystalline Tm4Sb3Pb at its relaxed geometry from Alexandria. Energies are from PBE-GGA.

Values from the calculation:
* uncorrected formation energy: -662 kJ/mol of formula units
* SG: Pm-3m, No. 221
* total DFT energy (no corrections): -5.103 eV/atom
* total magnetic moment: 0.00 μB/cell

Cell lengths 6.1563, 6.1563, 6.1563 Å; angles 90.00, 90.00, 90.00 degrees
Fractional coordinates of all 8 atoms:
Tm 0.0000 0.0000 0.5000
Tm 0.5000 0.5000 0.5000
Tm 0.0000 0.5000 0.0000
Tm 0.5000 0.0000 0.0000
Sb 0.5000 0.0000 0.5000
Sb 0.0000 0.5000 0.5000
Sb 0.5000 0.5000 0.0000
Pb 0.0000 0.0000 0.0000